The following is a DFT calculation (PBE+U) of a relaxed structure of Na3VP8O23.

* M_tot: 8.00 Bohr magnetons per cell
* electronic total energy: -6.983 eV/atom
* symmetry: P4_132

Unit cell a=12.171 b=12.171 c=12.171 alpha=90.00 beta=90.00 gamma=90.00
Site moments in Bohr magnetons follow the coordinates.
Fractional positions:
Na 0.375 0.956 0.794  0.00
Na 0.875 0.544 0.206  0.00
Na 0.044 0.294 0.125  0.00
Na 0.956 0.794 0.375  0.00
Na 0.206 0.875 0.544  0.00
Na 0.294 0.125 0.044  0.00
Na 0.456 0.706 0.625  0.00
Na 0.794 0.375 0.956  0.00
Na 0.706 0.625 0.456  0.00
Na 0.544 0.206 0.875  0.00
Na 0.625 0.456 0.706  0.00
Na 0.125 0.044 0.294  0.00
V 0.875 0.125 0.625  1.90
V 0.125 0.625 0.875  1.90
V 0.625 0.875 0.125  1.90
V 0.375 0.375 0.375  1.90
P 0.068 0.359 0.854  0.00
P 0.896 0.391 0.682  0.00
P 0.359 0.854 0.068  0.00
P 0.859 0.646 0.932  0.00
P 0.641 0.354 0.432  0.00
P 0.646 0.932 0.859  0.00
P 0.432 0.641 0.354  0.00
P 0.932 0.859 0.646  0.00
P 0.854 0.068 0.359  0.00
P 0.604 0.609 0.182  0.00
P 0.354 0.432 0.641  0.00
P 0.146 0.568 0.141  0.00
P 0.818 0.104 0.891  0.00
P 0.396 0.109 0.318  0.00
P 0.104 0.891 0.818  0.00
P 0.682 0.896 0.391  0.00
P 0.318 0.396 0.109  0.00
P 0.891 0.818 0.104  0.00
P 0.391 0.682 0.896  0.00
P 0.141 0.146 0.568  0.00
P 0.182 0.604 0.609  0.00
P 0.109 0.318 0.396  0.00
P 0.609 0.182 0.604  0.00
P 0.017 0.017 0.017  0.00
P 0.267 0.233 0.767  0.00
P 0.767 0.267 0.233  0.00
P 0.233 0.767 0.267  0.00
P 0.483 0.983 0.517  0.00
P 0.517 0.483 0.983  0.00
P 0.983 0.517 0.483  0.00
P 0.733 0.733 0.733  0.00
P 0.568 0.141 0.146  0.00
O 0.662 0.662 0.662  0.00
O 0.912 0.588 0.412  0.00
O 0.588 0.412 0.912  0.00
O 0.412 0.912 0.588  0.00
O 0.162 0.838 0.338  0.00
O 0.838 0.338 0.162  0.00
O 0.338 0.162 0.838  0.00
O 0.088 0.088 0.088  0.00
O 0.437 0.511 0.682  0.00
O 0.937 0.989 0.318  0.00
O 0.511 0.682 0.437  0.00
O 0.489 0.182 0.063  0.00
O 0.682 0.437 0.511  0.00
O 0.818 0.563 0.011  0.00
O 0.187 0.932 0.739  0.00
O 0.687 0.568 0.261  0.00
O 0.813 0.432 0.761  0.00
O 0.568 0.261 0.687  0.00
O 0.761 0.813 0.432  0.00
O 0.261 0.687 0.568  0.00
O 0.932 0.739 0.187  0.00
O 0.739 0.187 0.932  0.00
O 0.432 0.761 0.813  0.00
O 0.068 0.239 0.313  0.00
O 0.239 0.313 0.068  0.00
O 0.318 0.937 0.989  0.00
O 0.182 0.063 0.489  0.00
O 0.011 0.818 0.563  0.00
O 0.989 0.318 0.937  0.00
O 0.063 0.489 0.182  0.00
O 0.563 0.011 0.818  0.00
O 0.313 0.068 0.239  0.00
O 0.625 0.234 0.484  0.00
O 0.766 0.984 0.875  0.00
O 0.741 0.325 0.346  0.00
O 0.484 0.625 0.234  0.00
O 0.234 0.484 0.625  0.00
O 0.516 0.125 0.266  0.00
O 0.984 0.875 0.766  0.00
O 0.734 0.016 0.375  0.00
O 0.266 0.516 0.125  0.00
O 0.875 0.766 0.984  0.00
O 0.375 0.734 0.016  0.00
O 0.125 0.266 0.516  0.00
O 0.325 0.346 0.741  0.00
O 0.825 0.154 0.259  0.00
O 0.346 0.741 0.325  0.00
O 0.654 0.241 0.175  0.00
O 0.041 0.120 0.636  0.00
O 0.291 0.614 0.870  0.00
O 0.791 0.886 0.130  0.00
O 0.386 0.370 0.209  0.00
O 0.614 0.870 0.291  0.00
O 0.130 0.791 0.886  0.00
O 0.370 0.209 0.386  0.00
O 0.636 0.041 0.120  0.00
O 0.120 0.636 0.041  0.00
O 0.380 0.364 0.541  0.00
O 0.136 0.459 0.880  0.00
O 0.880 0.136 0.459  0.00
O 0.864 0.959 0.620  0.00
O 0.364 0.541 0.380  0.00
O 0.620 0.864 0.959  0.00
O 0.541 0.380 0.364  0.00
O 0.959 0.620 0.864  0.00
O 0.459 0.880 0.136  0.00
O 0.870 0.291 0.614  0.00
O 0.630 0.709 0.114  0.00
O 0.886 0.130 0.791  0.00
O 0.114 0.630 0.709  0.00
O 0.209 0.386 0.370  0.00
O 0.709 0.114 0.630  0.00
O 0.425 0.009 0.404  0.00
O 0.675 0.846 0.759  0.00
O 0.175 0.654 0.241  0.00
O 0.154 0.259 0.825  0.00
O 0.846 0.759 0.675  0.00
O 0.241 0.175 0.654  0.00
O 0.259 0.825 0.154  0.00
O 0.404 0.425 0.009  0.00
O 0.009 0.404 0.425  0.00
O 0.491 0.596 0.925  0.00
O 0.904 0.075 0.991  0.00
O 0.991 0.904 0.075  0.00
O 0.096 0.575 0.509  0.00
O 0.596 0.925 0.491  0.00
O 0.509 0.096 0.575  0.00
O 0.925 0.491 0.596  0.00
O 0.575 0.509 0.096  0.00
O 0.075 0.991 0.904  0.00
O 0.759 0.675 0.846  0.00
O 0.016 0.375 0.734  0.00